--- i ---
# Rb3AgH PBE optimized geometry
data_Rb3AgH
_chemical_formula_sum 'Rb3 Ag1 H1'
_cell_length_a 5.816
_cell_length_b 5.816
_cell_length_c 5.816
_cell_angle_alpha 90.00
_cell_angle_beta 90.00
_cell_angle_gamma 90.00
_space_group_name_H-M_alt 'P m -3 m'
_space_group_IT_number 221
_space_group_name_Hall '-P 4 2 3'
loop_
_atom_site_label
_atom_site_type_symbol
_atom_site_fract_x
_atom_site_fract_y
_atom_site_fract_z
Rb1 Rb 0.000 0.000 0.500
Ag1 Ag 0.500 0.500 0.500
H1 H 0.000 0.000 0.000
# * volume: 39.3 Å³ per atom
# * crystal system: cubic

---

--- ii ---
# Rb3AgH PBE optimized geometry
data_Rb3AgH
_chemical_formula_sum 'Rb3 Ag1 H1'
_cell_length_a 6.725
_cell_length_b 6.725
_cell_length_c 6.725
_cell_angle_alpha 90.00
_cell_angle_beta 90.00
_cell_angle_gamma 90.00
_space_group_name_H-M_alt 'P m -3 m'
_space_group_IT_number 221
_space_group_name_Hall '-P 4 2 3'
loop_
_atom_site_label
_atom_site_type_symbol
_atom_site_fract_x
_atom_site_fract_y
_atom_site_fract_z
Rb1 Rb 0.000 0.000 0.500
Ag1 Ag 0.000 0.000 0.000
H1 H 0.500 0.500 0.500
# * volume: 60.8 Å³ per atom
# * crystal system: cubic

---

Stability summary: most stable i, least stable ii.

---

--- i ---
# ReAgH2 PBE optimized geometry
data_ReAgH2
_chemical_formula_sum 'Re4 Ag4 H8'
_cell_length_a 5.436
_cell_length_b 5.436
_cell_length_c 5.436
_cell_angle_alpha 90.00
_cell_angle_beta 90.00
_cell_angle_gamma 90.00
_space_group_name_H-M_alt 'F m -3 m'
_space_group_IT_number 225
_space_group_name_Hall '-F 4 2 3'
loop_
_atom_site_label
_atom_site_type_symbol
_atom_site_fract_x
_atom_site_fract_y
_atom_site_fract_z
Re1 Re 0.000 0.000 0.000
Ag1 Ag 0.000 0.000 0.500
H1 H 0.250 0.250 0.250
# * volume: 10.0 Å³ per atom
# * crystal system: cubic

---

--- ii ---
# ReAgH2 PBE optimized geometry
data_ReAgH2
_chemical_formula_sum 'Re4 Ag4 H8'
_cell_length_a 5.207
_cell_length_b 5.207
_cell_length_c 5.754
_cell_angle_alpha 90.00
_cell_angle_beta 90.00
_cell_angle_gamma 90.00
_space_group_name_H-M_alt 'I -4 2 d'
_space_group_IT_number 122
_space_group_name_Hall 'I -4 2bw'
loop_
_atom_site_label
_atom_site_type_symbol
_atom_site_fract_x
_atom_site_fract_y
_atom_site_fract_z
Re1 Re 0.000 0.000 0.000
Ag1 Ag 0.000 0.000 0.500
H1 H 0.188 0.250 0.125
# * volume: 9.7 Å³ per atom
# * crystal system: tetragonal

---

Stability summary: most stable ii, least stable i.

---

--- i ---
# ReAgH3 PBE optimized geometry
data_ReAgH3
_chemical_formula_sum 'Re1 Ag1 H3'
_cell_length_a 3.540
_cell_length_b 3.540
_cell_length_c 3.540
_cell_angle_alpha 90.00
_cell_angle_beta 90.00
_cell_angle_gamma 90.00
_space_group_name_H-M_alt 'P m -3 m'
_space_group_IT_number 221
_space_group_name_Hall '-P 4 2 3'
loop_
_atom_site_label
_atom_site_type_symbol
_atom_site_fract_x
_atom_site_fract_y
_atom_site_fract_z
Re1 Re 0.000 0.000 0.000
Ag1 Ag 0.500 0.500 0.500
H1 H 0.000 0.000 0.500
# * volume: 8.9 Å³ per atom
# * crystal system: cubic

---

--- ii ---
# ReAgH3 PBE optimized geometry
data_ReAgH3
_chemical_formula_sum 'Re1 Ag1 H3'
_cell_length_a 3.514
_cell_length_b 3.514
_cell_length_c 3.514
_cell_angle_alpha 90.00
_cell_angle_beta 90.00
_cell_angle_gamma 90.00
_space_group_name_H-M_alt 'P m -3 m'
_space_group_IT_number 221
_space_group_name_Hall '-P 4 2 3'
loop_
_atom_site_label
_atom_site_type_symbol
_atom_site_fract_x
_atom_site_fract_y
_atom_site_fract_z
Re1 Re 0.000 0.000 0.000
Ag1 Ag 0.500 0.500 0.500
H1 H 0.000 0.500 0.500
# * volume: 8.7 Å³ per atom
# * crystal system: cubic

---

Stability summary: most stable i, least stable ii.

---

--- i ---
# Re3AgH PBE optimized geometry
data_Re3AgH
_chemical_formula_sum 'Re3 Ag1 H1'
_cell_length_a 3.988
_cell_length_b 3.988
_cell_length_c 3.988
_cell_angle_alpha 90.00
_cell_angle_beta 90.00
_cell_angle_gamma 90.00
_space_group_name_H-M_alt 'P m -3 m'
_space_group_IT_number 221
_space_group_name_Hall '-P 4 2 3'
loop_
_atom_site_label
_atom_site_type_symbol
_atom_site_fract_x
_atom_site_fract_y
_atom_site_fract_z
Re1 Re 0.000 0.000 0.500
Ag1 Ag 0.500 0.500 0.500
H1 H 0.000 0.000 0.000
# * volume: 12.7 Å³ per atom
# * crystal system: cubic

---

--- ii ---
# Re3AgH PBE optimized geometry
data_Re3AgH
_chemical_formula_sum 'Re3 Ag1 H1'
_cell_length_a 4.782
_cell_length_b 4.782
_cell_length_c 4.782
_cell_angle_alpha 90.00
_cell_angle_beta 90.00
_cell_angle_gamma 90.00
_space_group_name_H-M_alt 'P m -3 m'
_space_group_IT_number 221
_space_group_name_Hall '-P 4 2 3'
loop_
_atom_site_label
_atom_site_type_symbol
_atom_site_fract_x
_atom_site_fract_y
_atom_site_fract_z
Re1 Re 0.000 0.000 0.500
Ag1 Ag 0.000 0.000 0.000
H1 H 0.500 0.500 0.500
# * volume: 21.9 Å³ per atom
# * crystal system: cubic

---

Stability summary: most stable i, least stable ii.

---

--- i ---
# AgH3Rh PBE optimized geometry
data_AgH3Rh
_chemical_formula_sum 'Ag4 H12 Rh4'
_cell_length_a 2.956
_cell_length_b 2.956
_cell_length_c 20.418
_cell_angle_alpha 90.00
_cell_angle_beta 90.00
_cell_angle_gamma 90.00
_space_group_name_H-M_alt 'I -4 m 2'
_space_group_IT_number 119
_space_group_name_Hall 'I -4 -2'
loop_
_atom_site_label
_atom_site_type_symbol
_atom_site_fract_x
_atom_site_fract_y
_atom_site_fract_z
Ag1 Ag 0.000 0.000 0.000
Ag2 Ag 0.000 0.500 0.250
H1 H 0.000 0.000 0.318
H2 H 0.000 0.247 0.101
Rh1 Rh 0.000 0.500 0.631
# * volume: 8.9 Å³ per atom
# * crystal system: tetragonal

---

--- ii ---
# AgH3Rh PBE optimized geometry
data_AgH3Rh
_chemical_formula_sum 'Ag2 H6 Rh2'
_cell_length_a 10.473
_cell_length_b 3.125
_cell_length_c 2.878
_cell_angle_alpha 90.00
_cell_angle_beta 103.85
_cell_angle_gamma 90.00
_space_group_name_H-M_alt 'C 1 m 1'
_space_group_IT_number 8
loop_
_space_group_symop_operation_xyz
'x,y,z'
'x,-y,z'
'x+1/2,y+1/2,z'
'x+1/2,-y+1/2,z'
loop_
_atom_site_label
_atom_site_type_symbol
_atom_site_fract_x
_atom_site_fract_y
_atom_site_fract_z
Ag1 Ag 0.000 0.000 0.000
H1 H 0.173 0.000 0.721
H2 H 0.211 0.500 0.264
H3 H 0.382 0.000 0.905
Rh1 Rh 0.278 0.000 0.315
# * volume: 9.1 Å³ per atom
# * crystal system: monoclinic

---

Stability summary: most stable ii, least stable i.

---

--- i ---
# AgH3Rh PBE optimized geometry
data_AgH3Rh
_chemical_formula_sum 'Ag4 H12 Rh4'
_cell_length_a 10.228
_cell_length_b 3.213
_cell_length_c 5.366
_cell_angle_alpha 90.00
_cell_angle_beta 100.09
_cell_angle_gamma 90.00
_space_group_name_H-M_alt 'C 1 2/m 1'
_space_group_IT_number 12
loop_
_space_group_symop_operation_xyz
'x,y,z'
'-x,-y,-z'
'-x,y,-z'
'x,-y,z'
'x+1/2,y+1/2,z'
'-x+1/2,-y+1/2,-z'
'-x+1/2,y+1/2,-z'
'x+1/2,-y+1/2,z'
loop_
_atom_site_label
_atom_site_type_symbol
_atom_site_fract_x
_atom_site_fract_y
_atom_site_fract_z
Ag1 Ag 0.114 0.000 0.384
H1 H 0.049 0.500 0.177
H2 H 0.185 0.500 0.619
H3 H 0.203 0.000 0.910
Rh1 Rh 0.126 0.500 0.889
# * volume: 8.7 Å³ per atom
# * crystal system: monoclinic

---

--- ii ---
# AgH3Rh PBE optimized geometry
data_AgH3Rh
_chemical_formula_sum 'Ag4 H12 Rh4'
_cell_length_a 2.882
_cell_length_b 12.986
_cell_length_c 4.732
_cell_angle_alpha 90.00
_cell_angle_beta 90.00
_cell_angle_gamma 90.00
_space_group_name_H-M_alt 'C m c m'
_space_group_IT_number 63
_space_group_name_Hall '-C 2c 2'
loop_
_atom_site_label
_atom_site_type_symbol
_atom_site_fract_x
_atom_site_fract_y
_atom_site_fract_z
Ag1 Ag 0.000 0.139 0.250
H1 H 0.000 0.000 0.000
H2 H 0.192 0.313 0.250
Rh1 Rh 0.000 0.432 0.250
# * volume: 8.9 Å³ per atom
# * crystal system: orthorhombic

---

--- iii ---
# AgH3Rh PBE optimized geometry
data_AgH3Rh
_chemical_formula_sum 'Ag2 H6 Rh2'
_cell_length_a 3.124
_cell_length_b 4.667
_cell_length_c 6.380
_cell_angle_alpha 90.00
_cell_angle_beta 103.84
_cell_angle_gamma 90.00
_space_group_name_H-M_alt 'P 1 21/m 1'
_space_group_IT_number 11
loop_
_space_group_symop_operation_xyz
'x,y,z'
'-x,-y,-z'
'-x,y+1/2,-z'
'x,-y+1/2,z'
loop_
_atom_site_label
_atom_site_type_symbol
_atom_site_fract_x
_atom_site_fract_y
_atom_site_fract_z
Ag1 Ag 0.147 0.250 0.295
H1 H 0.023 0.750 0.040
H2 H 0.325 0.037 0.648
Rh1 Rh 0.428 0.250 0.859
# * volume: 9.0 Å³ per atom
# * crystal system: monoclinic

---

--- iv ---
# AgH3Rh PBE optimized geometry
data_AgH3Rh
_chemical_formula_sum 'Ag6 H18 Rh6'
_cell_length_a 5.0769
_cell_length_b 5.0769
_cell_length_c 11.7245
_cell_angle_alpha 90.00
_cell_angle_beta 90.00
_cell_angle_gamma 120.00
_space_group_name_H-M_alt 'R -3 c'
_space_group_IT_number 167
_space_group_name_Hall '-R 3 2"c'
loop_
_atom_site_label
_atom_site_type_symbol
_atom_site_fract_x
_atom_site_fract_y
_atom_site_fract_z
Ag1 Ag 0.0000 0.0000 0.0000
H1 H 0.0000 0.3291 0.2500
Rh1 Rh 0.0000 0.0000 0.2500
# * volume: 8.7 Å³ per atom
# * crystal system: trigonal

---

Stability summary: most stable i, least stable iv.

---

--- i ---
# AgH3Rh PBE optimized geometry
data_AgH3Rh
_chemical_formula_sum 'Ag2 H6 Rh2'
_cell_length_a 2.960
_cell_length_b 4.712
_cell_length_c 6.249
_cell_angle_alpha 90.00
_cell_angle_beta 101.87
_cell_angle_gamma 90.00
_space_group_name_H-M_alt 'P 1 21/m 1'
_space_group_IT_number 11
loop_
_space_group_symop_operation_xyz
'x,y,z'
'-x,-y,-z'
'-x,y+1/2,-z'
'x,-y+1/2,z'
loop_
_atom_site_label
_atom_site_type_symbol
_atom_site_fract_x
_atom_site_fract_y
_atom_site_fract_z
Ag1 Ag 0.052 0.250 0.137
H1 H 0.199 0.523 0.389
H2 H 0.448 0.250 0.908
Rh1 Rh 0.316 0.250 0.638
# * volume: 8.5 Å³ per atom
# * crystal system: monoclinic

---

--- ii ---
# AgH3Rh PBE optimized geometry
data_AgH3Rh
_chemical_formula_sum 'Ag2 H6 Rh2'
_cell_length_a 3.014
_cell_length_b 5.365
_cell_length_c 5.558
_cell_angle_alpha 81.51
_cell_angle_beta 75.00
_cell_angle_gamma 74.41
_space_group_name_H-M_alt 'P -1'
_space_group_IT_number 2
loop_
_space_group_symop_operation_xyz
'x,y,z'
'-x,-y,-z'
loop_
_atom_site_label
_atom_site_type_symbol
_atom_site_fract_x
_atom_site_fract_y
_atom_site_fract_z
Ag1 Ag 0.218 0.206 0.356
H1 H 0.042 0.169 0.728
H2 H 0.196 0.635 0.977
H3 H 0.500 0.000 0.000
H4 H 0.500 0.500 0.500
Rh1 Rh 0.431 0.319 0.824
# * volume: 8.3 Å³ per atom
# * crystal system: triclinic

---

Stability summary: most stable ii, least stable i.

---

--- i ---
# AgH3Rh PBE optimized geometry
data_AgH3Rh
_chemical_formula_sum 'Ag2 H6 Rh2'
_cell_length_a 2.893
_cell_length_b 5.164
_cell_length_c 5.980
_cell_angle_alpha 85.36
_cell_angle_beta 89.75
_cell_angle_gamma 89.51
_space_group_name_H-M_alt 'P 1'
_space_group_IT_number 1
loop_
_space_group_symop_operation_xyz
'x,y,z'
loop_
_atom_site_label
_atom_site_type_symbol
_atom_site_fract_x
_atom_site_fract_y
_atom_site_fract_z
Ag1 Ag 0.000 0.000 0.000
Ag2 Ag 0.489 0.904 0.475
H1 H 0.005 0.697 0.223
H2 H 0.006 0.578 0.626
H3 H 0.011 0.321 0.145
H4 H 0.012 0.177 0.691
H5 H 0.507 0.618 0.887
H6 H 0.516 0.296 0.414
Rh1 Rh 0.508 0.508 0.161
Rh2 Rh 0.509 0.387 0.680
# * volume: 8.9 Å³ per atom
# * crystal system: triclinic

---

--- ii ---
# AgH3Rh PBE optimized geometry
data_AgH3Rh
_chemical_formula_sum 'Ag2 H6 Rh2'
_cell_length_a 2.889
_cell_length_b 6.589
_cell_length_c 4.677
_cell_angle_alpha 90.00
_cell_angle_beta 102.35
_cell_angle_gamma 90.00
_space_group_name_H-M_alt 'P 1 21/m 1'
_space_group_IT_number 11
loop_
_space_group_symop_operation_xyz
'x,y,z'
'-x,-y,-z'
'-x,y+1/2,-z'
'x,-y+1/2,z'
loop_
_atom_site_label
_atom_site_type_symbol
_atom_site_fract_x
_atom_site_fract_y
_atom_site_fract_z
Ag1 Ag 0.171 0.250 0.481
H1 H 0.076 0.544 0.220
H2 H 0.453 0.750 0.880
Rh1 Rh 0.500 0.000 0.000
# * volume: 8.7 Å³ per atom
# * crystal system: monoclinic

---

Stability summary: most stable i, least stable ii.